[1]
Computed, not measured: crystalline TcTe2As at its relaxed geometry at the PBE level of DFT.

Calculated values
Space-group type ... I-42d
Raw formation energy ... 0.4822 eV/atom

a = 6.6250 Å, b = 6.6250 Å, c = 7.1670 Å
α = 62.47°, β = 62.47°, γ = 90.00°
Last column: nearest neighbours and their distance in Å.
Positions (direct):
Te1 0.3750 0.3368 0.7500  2 Tc 2.56
Tc1 0.0000 0.0000 0.0000  4 Te 2.56
Tc2 0.7500 0.2500 0.5000  4 Te 2.56
Te2 0.8750 0.9132 0.7500  2 Tc 2.56
As1 0.5000 0.5000 0.0000  4 Te 2.87
Te3 0.0868 0.6250 0.2500  2 Tc 2.56
Te4 0.6632 0.1250 0.2500  2 Tc 2.56
As2 0.2500 0.7500 0.5000  4 Te 2.87

[2]
Computed, not measured: crystalline SrGa2Pd5Au at its relaxed geometry at the PBE level of DFT.

Calculated values
Space-group type ... P4/mmm

a = 4.8292 Å, b = 4.8292 Å, c = 7.3482 Å
α = 90.00°, β = 90.00°, γ = 90.00°
Last column: nearest neighbours and their distance in Å.
Positions (direct):
Ga1 0.5000 0.5000 0.1686  5 Pd 2.43-2.44, 1 Ga 2.48
Pd1 0.5000 0.5000 0.5000  2 Ga 2.44
Pd2 0.0000 0.5000 0.7909  2 Ga 2.43
Au1 0.0000 0.0000 0.0000  8 Pd 2.86
Pd3 0.5000 0.0000 0.7909  2 Ga 2.43
Pd4 0.0000 0.5000 0.2091  2 Ga 2.43
Pd5 0.5000 0.0000 0.2091  2 Ga 2.43
Ga2 0.5000 0.5000 0.8314  5 Pd 2.43-2.44, 1 Ga 2.48
Sr1 0.0000 0.0000 0.5000  12 Pd 3.22-3.41

[3]
Computed, not measured: crystalline SrCuGeSe3 at its relaxed geometry at the PBE level of DFT.

Calculated values
Space-group type ... P2_1/m
Raw formation energy ... -0.7544 eV/atom

a = 4.0117 Å, b = 8.5179 Å, c = 8.8816 Å
α = 104.29°, β = 90.00°, γ = 90.00°
Last column: nearest neighbours and their distance in Å.
Positions (direct):
Se1 0.2500 0.1183 0.8674  1 Cu 2.49, 2 Ge 2.77
Se2 0.2500 0.5588 0.8323  3 Ge 2.63-2.78
Sr1 0.7500 0.8187 0.7636  7 Se 3.16-3.24, 1 Cu 3.40
Se3 0.7500 0.8817 0.1326  1 Cu 2.49, 2 Ge 2.77
Se4 0.7500 0.2247 0.5298  3 Cu 2.47-2.49
Cu1 0.2500 0.0714 0.5797  4 Se 2.47-2.49, 2 Cu 2.58
Se5 0.7500 0.4412 0.1677  3 Ge 2.63-2.78
Se6 0.2500 0.7753 0.4702  3 Cu 2.47-2.49
Sr2 0.2500 0.1813 0.2364  7 Se 3.16-3.24, 1 Cu 3.40
Ge1 0.7500 0.3419 0.8627  6 Se 2.63-2.88
Cu2 0.7500 0.9286 0.4203  4 Se 2.47-2.49, 2 Cu 2.58
Ge2 0.2500 0.6581 0.1373  6 Se 2.63-2.88

[4]
Computed, not measured: crystalline BeAgI2 at its relaxed geometry at the PBE level of DFT.

Calculated values
Space-group type ... Fm-3m
Raw formation energy ... 0.6116 eV/atom
Energy above the lowest structure with this stoichiometry ... 423.9 meV per atom

a = 5.2515 Å, b = 5.2515 Å, c = 5.2515 Å
α = 60.00°, β = 60.00°, γ = 60.00°
Last column: nearest neighbours and their distance in Å.
Positions (direct):
I1 0.2500 0.2500 0.2500  4 Be 3.22, 4 Ag 3.22
Ag1 0.5000 0.5000 0.5000  8 I 3.22
I2 0.7500 0.7500 0.7500  4 Be 3.22, 4 Ag 3.22
Be1 0.0000 0.0000 0.0000  8 I 3.22

[5]
Computed, not measured: crystalline ZrTl2As at its relaxed geometry at the PBE level of DFT.

Calculated values
Space-group type ... P4/mmm
Energy above the lowest structure with this stoichiometry ... 385.1 meV per atom

a = 4.0514 Å, b = 4.0475 Å, c = 5.7890 Å
α = 90.00°, β = 90.00°, γ = 90.00°
Last column: nearest neighbours and their distance in Å.
Positions (direct):
Zr1 0.5000 0.5000 0.2500  2 As 2.89, 8 Tl 3.21
As1 0.5000 0.5000 0.7500  2 Zr 2.89, 8 Tl 3.21
Tl1 0.0000 0.0000 0.4998  2 Tl 2.89-2.90, 4 Zr 3.21, 4 As 3.21
Tl2 0.0000 0.0000 0.0002  2 Tl 2.89-2.90, 4 Zr 3.21, 4 As 3.21

[6]
Computed, not measured: crystalline TmThHg4 at its relaxed geometry at the PBE level of DFT.

Calculated values
Space-group type ... C2/m
Energy above the lowest structure with this stoichiometry ... 49.5 meV per atom

a = 3.5112 Å, b = 6.3602 Å, c = 8.2275 Å
α = 113.47°, β = 77.68°, γ = 73.98°
Last column: nearest neighbours and their distance in Å.
Positions (direct):
Th1 0.5000 0.5000 0.5000  8 Hg 3.27-3.29, 2 Th 3.51
Hg1 0.8202 0.5121 0.8475  4 Hg 3.08-3.16, 2 Tm 3.15, 2 Th 3.27
Hg2 0.6507 0.0215 0.6772  7 Hg 3.16-3.51, 2 Tm 3.19, 2 Th 3.29
Hg3 0.1798 0.4879 0.1525  4 Hg 3.08-3.16, 2 Tm 3.15, 2 Th 3.27
Hg4 0.3493 0.9785 0.3228  7 Hg 3.16-3.51, 2 Tm 3.19, 2 Th 3.29
Tm1 0.0000 0.0000 0.0000  8 Hg 3.15-3.19, 2 Tm 3.51

[7]
Computed, not measured: crystalline YMnRe at its relaxed geometry at the PBE level of DFT.

Calculated values
Space-group type ... I4mm
Energy above the lowest structure with this stoichiometry ... 245.1 meV per atom

a = 6.1037 Å, b = 6.1036 Å, c = 3.0455 Å
α = 75.55°, β = 75.55°, γ = 28.89°
Last column: nearest neighbours and their distance in Å.
Positions (direct):
Y1 0.6649 0.6649 0.3351  4 Y 3.05, 4 Mn 3.11, 5 Re 3.16-3.40
Mn1 0.9681 0.9681 0.0319  4 Re 2.44
Re1 0.3669 0.3669 0.6331  4 Mn 2.44

[8]
Computed, not measured: crystalline Pm12Tm7In at its relaxed geometry at the PBE level of DFT.

Calculated values
Space-group type ... Im-3m

a = 9.9622 Å, b = 9.9622 Å, c = 9.9622 Å
α = 109.47°, β = 109.47°, γ = 109.47°
Last column: nearest neighbours and their distance in Å.
Positions (direct):
Pm1 0.2235 0.9999 0.7764  2 Tm 2.91
Pm2 0.7764 0.2235 0.9999  2 Tm 2.91
Tm1 0.0000 0.5000 0.5000  12 Pm 4.09-4.50
In1 0.0000 0.0000 0.0000  12 Pm 3.64
Tm2 0.5000 0.5000 0.5000  6 Pm 2.91
Tm3 0.5000 0.0000 0.0000  6 Pm 2.91
Pm3 0.9999 0.7764 0.2235  2 Tm 2.91
Tm4 0.5000 0.0000 0.5000  12 Pm 4.09-4.50
Tm5 0.0000 0.5000 0.0000  6 Pm 2.91
Tm6 0.0000 0.0000 0.5000  6 Pm 2.91
Pm4 0.4472 0.2236 0.2235  2 Tm 2.91
Pm5 0.5528 0.7764 0.7765  2 Tm 2.91
Pm6 0.2236 0.2235 0.4472  2 Tm 2.91
Pm7 0.2236 0.7765 0.0001  2 Tm 2.91
Pm8 0.7764 0.7765 0.5528  2 Tm 2.91
Pm9 0.7765 0.5528 0.7764  2 Tm 2.91
Pm10 0.0001 0.2236 0.7765  2 Tm 2.91
Pm11 0.2235 0.4472 0.2236  2 Tm 2.91
Tm7 0.5000 0.5000 0.0000  12 Pm 4.09-4.50
Pm12 0.7765 0.0001 0.2236  2 Tm 2.91

| no. | theoretical density (kg/m3) | VASP energy (Ry per atom) |
| --- | --- | --- |
| 1 | 5972 | -0.35592 |
| 2 | 9265 | -0.32740 |
| 3 | 5202 | -0.31084 |
| 4 | 6011 | -0.13287 |
| 5 | 10057 | -0.32186 |
| 6 | 13258 | -0.17863 |
| 7 | 10346 | -0.67465 |
| 8 | 6627 | -0.28507 |